# RbScHg2 | Alexandria | PBE-GGA | optimized geometry
data_RbScHg2
_symmetry_space_group_name_H-M 'P 1'
_symmetry_Int_Tables_number 1
_cell_length_a 3.686
_cell_length_b 3.686
_cell_length_c 8.567
_cell_angle_alpha 90.00
_cell_angle_beta 90.00
_cell_angle_gamma 90.00
loop_
_symmetry_equiv_pos_as_xyz
'x,y,z'
loop_
_atom_site_label
_atom_site_fract_x
_atom_site_fract_y
_atom_site_fract_z
Hg1 0.000 0.000 0.184
Hg2 0.000 0.000 0.816
Sc1 0.500 0.500 0.000
Rb1 0.500 0.500 0.500
# Polymorph energy (0 for the lowest one) in meV/atom: 0
# Space-group type: P4/mmm

# PrSm3Y3 | Alexandria | PBE-GGA | optimized geometry
data_PrSm3Y3
_symmetry_space_group_name_H-M 'P 1'
_symmetry_Int_Tables_number 1
_cell_length_a 7.199
_cell_length_b 6.629
_cell_length_c 6.629
_cell_angle_alpha 107.66
_cell_angle_beta 111.22
_cell_angle_gamma 111.22
loop_
_symmetry_equiv_pos_as_xyz
'x,y,z'
loop_
_atom_site_label
_atom_site_fract_x
_atom_site_fract_y
_atom_site_fract_z
Sm1 0.460 0.441 0.000
Y1 0.971 0.000 0.370
Sm2 0.460 0.000 0.441
Pr1 0.493 0.000 0.000
Sm3 0.019 0.559 0.559
Y2 0.971 0.370 0.000
Y3 0.600 0.630 0.630
# Polymorph energy (0 for the lowest one) in meV/atom: 33
# Space-group type: R3m

# Tb4YIn2 | Alexandria | PBE-GGA | optimized geometry
data_Tb4YIn2
_symmetry_space_group_name_H-M 'P 1'
_symmetry_Int_Tables_number 1
_cell_length_a 5.355
_cell_length_b 9.059
_cell_length_c 9.059
_cell_angle_alpha 90.00
_cell_angle_beta 90.00
_cell_angle_gamma 90.00
loop_
_symmetry_equiv_pos_as_xyz
'x,y,z'
loop_
_atom_site_label
_atom_site_fract_x
_atom_site_fract_y
_atom_site_fract_z
Tb1 0.500 0.167 0.580
Y1 0.500 0.000 0.000
Tb2 0.000 0.080 0.333
Tb3 0.000 0.920 0.667
In1 0.000 0.748 0.252
Tb4 0.500 0.580 0.167
In2 0.500 0.248 0.248
Tb5 0.500 0.420 0.833
Tb6 0.500 0.833 0.420
In3 0.000 0.252 0.748
Tb7 0.000 0.333 0.080
In4 0.500 0.752 0.752
Y2 0.000 0.500 0.500
Tb8 0.000 0.667 0.920
# Polymorph energy (0 for the lowest one) in meV/atom: 0
# Space-group type: P4_2/mnm

Let's list Fermi-level density of states in order: 4.896, 10.858, 12.758 states/eV per cell.
Let's list DFT formation energy in order: -17.1, 24.9, -12.8 kJ per mole of atoms.
Let's list energy in order: -8.6, -36.5, -62.8 eV per cell.